The following is a meta-GGA SCAN calculation of a PBEsol-optimized structure of IrWAu, from Alexandria.

Geometry as POSCAR:
```
IrWAu
1.0
2.815 0.000 0.000
0.000 3.892 0.000
-1.407 -1.946 4.178
Au Ir W
1 1 1
direct
0.001 0.001 0.001
0.326 0.326 0.652
0.673 0.673 0.347
```

For the calculated volume, the calculation gives 45.8 Å³/f.u. Its density of states at the Fermi level is 1.6 states/eV/cell. The formation enthalpy at 0 K comes out at 0.06 eV/f.u. As for the spin magnetization: 0.0 μB per cell. The calculation puts the calculated total energy at -209.89 eV/cell. The calculated density is 20.79 g/cm³.